An optimized crystal structure of TlZn4Sb3O12. Source: Alexandria, functional GGA-PBE.

a = 7.0368 Å, b = 7.0368 Å, c = 7.0368 Å
α = 108.76°, β = 108.76°, γ = 108.76°
Atoms (fractional coordinates):
Tl  0.0000  0.0000  0.0000
Zn  0.9384  0.0616  0.5000
Zn  0.0616  0.5000  0.9384
Zn  0.5000  0.9384  0.0616
Zn  0.5000  0.5000  0.5000
Sb  0.5590  0.4410  0.0000
Sb  0.4410  0.0000  0.5590
Sb  0.0000  0.5590  0.4410
O  0.5000  0.3329  0.6671
O  0.8914  0.5000  0.1086
O  0.1086  0.8914  0.5000
O  0.5000  0.1086  0.8914
O  0.3421  0.9312  0.2416
O  0.2416  0.3421  0.9312
O  0.9312  0.2416  0.3421
O  0.6579  0.7584  0.0688
O  0.0688  0.6579  0.7584
O  0.7584  0.0688  0.6579
O  0.6671  0.5000  0.3329
O  0.3329  0.6671  0.5000

* electronic total energy: -5.2796 eV per atom


An optimized crystal structure of TlZn2SbO6. Source: Alexandria, functional GGA-PBE.

a = 5.4226 Å, b = 5.4225 Å, c = 5.7444 Å
α = 61.83°, β = 61.83°, γ = 60.00°
Atoms (fractional coordinates):
Tl  0.8031  0.8031  0.5906
Zn  0.5329  0.5328  0.4014
Zn  0.0210  0.0210  0.9370
Sb  0.3175  0.3175  0.0475
O  0.5890  0.2320  0.2444
O  0.2320  0.9346  0.2444
O  0.9346  0.5890  0.2444
O  0.3872  0.7068  0.7685
O  0.7068  0.1376  0.7684
O  0.1376  0.3872  0.7685

* electronic total energy: -5.0915 eV per atom


An optimized crystal structure of ZrTl2Sb3O12. Source: Alexandria, functional GGA-PBE.

a = 7.5715 Å, b = 7.5715 Å, c = 7.5715 Å
α = 58.77°, β = 58.77°, γ = 58.77°
Each line ends with the local moment (μB).
Atoms (fractional coordinates):
Zr  0.0000  0.0000  0.0000  -0.04
Tl  0.6187  0.6187  0.6187  0.01
Tl  0.3813  0.3813  0.3813  0.01
Sb  0.5000  0.0000  0.0000  -0.02
Sb  0.0000  0.5000  0.0000  -0.02
Sb  0.0000  0.0000  0.5000  -0.02
O  0.3223  0.3223  0.9208  0.20
O  0.9295  0.9295  0.3324  0.24
O  0.3324  0.9295  0.9295  0.24
O  0.9208  0.3223  0.3223  0.20
O  0.9295  0.3324  0.9295  0.24
O  0.3223  0.9208  0.3223  0.20
O  0.6777  0.6777  0.0792  0.20
O  0.0705  0.0705  0.6676  0.24
O  0.6676  0.0705  0.0705  0.24
O  0.0792  0.6777  0.6777  0.20
O  0.0705  0.6676  0.0705  0.24
O  0.6777  0.0792  0.6777  0.20

* electronic total energy: -6.0546 eV per atom


An optimized crystal structure of ZrTl2Sb2O6. Source: Alexandria, functional GGA-PBE.

a = 5.9719 Å, b = 5.9349 Å, c = 7.8020 Å
α = 99.14°, β = 90.00°, γ = 120.21°
Atoms (fractional coordinates):
Zr  0.5000  0.0000  0.5000
Tl  0.7979  0.5959  0.2942
Tl  0.2021  0.4041  0.7058
Sb  0.8756  0.7511  0.7753
Sb  0.1244  0.2489  0.2247
O  0.7092  0.4183  0.5986
O  0.2763  0.0656  0.3248
O  0.2108  0.9344  0.6752
O  0.7237  0.9344  0.6752
O  0.7892  0.0656  0.3248
O  0.2908  0.5817  0.4014

* electronic total energy: -6.3253 eV per atom


An optimized crystal structure of Tm4Sb6O19. Source: Alexandria, functional GGA-PBE.

a = 8.0765 Å, b = 8.0764 Å, c = 8.0991 Å
α = 108.41°, β = 108.98°, γ = 110.93°
Atoms (fractional coordinates):
Tm  0.9994  0.9788  0.7121
Tm  0.9974  0.7108  0.9768
Tm  0.2667  0.2873  0.2879
Tm  0.7339  0.0205  0.0232
Sb  0.3345  0.5008  0.8344
Sb  0.6664  0.5002  0.1656
Sb  0.1603  0.6603  0.5000
Sb  0.8395  0.3395  0.5000
Sb  0.4994  0.8321  0.3320
Sb  0.5001  0.1674  0.6680
O  0.6407  0.9994  0.6395
O  0.3599  0.0012  0.3605
O  0.3581  0.3581  0.0000
O  0.6441  0.6441  0.0000
O  0.9984  0.7192  0.7190
O  0.0002  0.2793  0.2810
O  0.0003  0.0003  0.0000
O  0.3665  0.3276  0.6079
O  0.6345  0.2407  0.9607
O  0.7197  0.7586  0.3921
O  0.9519  0.6377  0.2265
O  0.2800  0.6738  0.0393
O  0.5885  0.3614  0.3122
O  0.0492  0.2763  0.6878
O  0.4112  0.7254  0.7735
O  0.6682  0.0272  0.2742
O  0.2463  0.9725  0.6410
O  0.3315  0.6052  0.3590
O  0.7531  0.3941  0.7258

* electronic total energy: -6.7460 eV per atom


An optimized crystal structure of Tm2Sb2O. Source: Alexandria, functional GGA-PBE.

a = 4.0322 Å, b = 6.8375 Å, c = 9.3663 Å
α = 90.05°, β = 77.57°, γ = 72.85°
Atoms (fractional coordinates):
Tm  0.1130  0.1894  0.5847
Tm  0.6619  0.8694  0.8069
Tm  0.8870  0.8106  0.4153
Tm  0.3381  0.1306  0.1931
Sb  0.6105  0.4375  0.3415
Sb  0.9287  0.2047  0.9379
Sb  0.3895  0.5625  0.6585
Sb  0.0713  0.7953  0.0621
O  0.6802  0.0312  0.6083
O  0.3198  0.9688  0.3917

* electronic total energy: -6.1616 eV per atom